No. 1
# AlSi2Tc PBE relaxed
data_AlSi2Tc
_cell_length_a 4.787
_cell_length_b 4.787
_cell_length_c 4.787
_cell_angle_alpha 139.89
_cell_angle_beta 127.88
_cell_angle_gamma 67.74
_symmetry_space_group_name_H-M 'P 1'
_symmetry_Int_Tables_number 1
loop_
_symmetry_equiv_pos_as_xyz
'x,y,z'
loop_
_atom_site_label
_atom_site_fract_x
_atom_site_fract_y
_atom_site_fract_z
_atom_site_occupancy
Si1 0.760 0.260 0.500 1
Si2 0.993 0.993 0.000 1
Tc1 0.505 0.505 0.000 1
Al1 0.243 0.743 0.500 1
# energy relative to the elements, uncorrected: -0.3 eV per formula unit
# total moment: 0.000 μB per formula unit
# V: 54.91 Å³/f.u.
# DOS(E_F): 2.36 states/eV per cell

---

No. 2
# Ac2B2O5 PBE relaxed
data_Ac2B2O5
_cell_length_a 3.797
_cell_length_b 6.718
_cell_length_c 7.973
_cell_angle_alpha 123.48
_cell_angle_beta 90.00
_cell_angle_gamma 106.42
_symmetry_space_group_name_H-M 'P 1'
_symmetry_Int_Tables_number 1
loop_
_symmetry_equiv_pos_as_xyz
'x,y,z'
loop_
_atom_site_label
_atom_site_fract_x
_atom_site_fract_y
_atom_site_fract_z
_atom_site_occupancy
O1 0.000 0.000 0.000 1
O2 0.121 0.241 0.481 1
Ac1 0.504 0.009 0.215 1
O3 0.305 0.611 0.844 1
O4 0.879 0.759 0.519 1
O5 0.695 0.389 0.156 1
B1 0.813 0.627 0.313 1
Ac2 0.496 0.991 0.785 1
B2 0.187 0.373 0.687 1
# energy relative to the elements, uncorrected: -20.7 eV per formula unit
# total moment: 1.720 μB per formula unit
# V: 159.60 Å³/f.u.
# DOS(E_F): 1.54 states/eV per cell